VASP calculation (PBE with a Hubbard U) on a relaxed structure of MgVSiO5.

a = 5.262 Å, b = 5.262 Å, c = 7.068 Å
α = 76.13°, β = 76.13°, γ = 106.17°
Each line ends with the local moment (μB).
Fractional positions:
Mg 0.835 0.158 0.775  0.00
Mg 0.158 0.835 0.275  0.00
V 0.508 0.491 0.524  1.04
V 0.491 0.508 0.024  1.04
Si 0.183 0.816 0.754  0.00
Si 0.816 0.183 0.254  0.00
O 0.431 0.837 0.861  -0.01
O 0.162 0.571 0.644  -0.01
O 0.571 0.162 0.144  -0.01
O 0.837 0.431 0.361  -0.01
O 0.770 0.884 0.422  0.00
O 0.114 0.236 0.082  0.00
O 0.236 0.114 0.582  0.00
O 0.884 0.770 0.922  0.00
O 0.409 0.586 0.256  -0.07
O 0.586 0.409 0.756  -0.07

Values from the calculation:
E_tot = -7.352 eV per atom